(1)
K2TeW PBE relaxed; size of the total moment = 1.59 μB per formula unit; DOS at the Fermi energy = 0.683 states/eV/atom; energy relative to the elements, uncorrected = 0.8276 eV/atom
1.0
3.3862 0.0000 0.0000
0.0000 4.8010 0.0000
-1.5098 0.0000 9.3265
K Te W
2 1 1
direct
0.0000 0.0000 0.0000
0.2621 0.5000 0.5836
0.6052 0.5000 0.2309
0.6547 0.0000 0.3451

=====

(2)
KTeW2 PBE relaxed; size of the total moment = 0.51 μB per formula unit; DOS at the Fermi energy = 0.504 states/eV/atom; energy relative to the elements, uncorrected = 0.7247 eV/atom
1.0
4.2280 -1.6403 0.0000
4.2280 1.6403 0.0000
-0.9731 0.0000 7.6550
K Te W
1 1 2
direct
0.0000 0.0000 0.0000
0.2345 0.2345 0.6557
0.4949 0.4949 0.4671
0.7755 0.7755 0.3454

=====

(3)
KTeW2 PBE relaxed; size of the total moment = 0.00 μB per formula unit; DOS at the Fermi energy = 0.561 states/eV/atom; energy relative to the elements, uncorrected = 0.5494 eV/atom
1.0
3.2762 0.0000 0.0000
0.0000 1.6622 9.1351
0.0000 -1.6622 9.1351
K Te W
1 1 2
direct
0.0000 0.0000 0.0000
0.5000 0.3503 0.3503
0.0000 0.2237 0.2237
0.5000 0.6582 0.6582